1.
Crystalline Mg3BeOs at its relaxed geometry. Source: the Alexandria database, functional PBE-GGA.

a = 4.951 Å, b = 4.951 Å, c = 4.951 Å
α = 90.00°, β = 90.00°, γ = 90.00°
Element x y z (fractional)
Mg  0.500  0.000  0.000
Mg  0.000  0.500  0.000
Mg  0.000  0.000  0.500
Os  0.000  0.000  0.000
Be  0.500  0.500  0.500

Computed properties:
The excess energy over the best structure of this formula in the dataset comes out at 0.0355 eV per atom. Its space-group type is Pm-3m. Its crystal system is cubic.

***

2.
Crystalline Tl3IBrCl at its relaxed geometry. Source: the Alexandria database, functional PBE-GGA.

a = 4.717 Å, b = 8.238 Å, c = 12.478 Å
α = 102.53°, β = 90.00°, γ = 90.00°
Element x y z (fractional)
Tl  0.250  0.759  0.493
Tl  0.250  0.444  0.834
Tl  0.750  0.556  0.166
Tl  0.750  0.241  0.507
Tl  0.250  0.957  0.838
Tl  0.750  0.043  0.162
Cl  0.750  0.874  0.364
Cl  0.250  0.126  0.636
Br  0.750  0.236  0.943
Br  0.250  0.764  0.057
I  0.750  0.654  0.696
I  0.250  0.346  0.304

Computed properties:
Its space-group type is P2_1/m. The calculation puts the formation energy (no corrections) at -0.836 eV per atom. Its crystal system is monoclinic.

***

3.
Crystalline TaSb2Os at its relaxed geometry. Source: the Alexandria database, functional PBE-GGA.

a = 9.019 Å, b = 9.019 Å, c = 9.019 Å
α = 20.24°, β = 20.24°, γ = 20.24°
Element x y z (fractional)
Ta  0.750  0.750  0.750
Sb  0.506  0.506  0.506
Sb  0.994  0.994  0.994
Os  0.250  0.250  0.250

Computed properties:
The excess energy over the best structure of this formula in the dataset comes out at 0.4348 eV per atom. Its space-group type is R-3m. The calculation puts the formation energy (no corrections) at 0.462 eV per atom. Its crystal system is trigonal.

***

4.
Crystalline BaInPd at its relaxed geometry. Source: the Alexandria database, functional PBE-GGA.

a = 3.693 Å, b = 3.693 Å, c = 6.608 Å
α = 106.23°, β = 106.23°, γ = 90.00°
Element x y z (fractional)
Ba  0.006  0.006  0.012
In  0.292  0.292  0.584
Pd  0.702  0.702  0.404

Computed properties:
Its space-group type is I4mm. Its crystal system is tetragonal. For the electronic total energy, the calculation gives -3.7313 eV/atom.

***

Question: What is the formula in the first record?
Answer: Mg3BeOs

***

Copy entry 4 word for word.
Crystalline BaInPd at its relaxed geometry. Source: the Alexandria database, functional PBE-GGA.

a = 3.693 Å, b = 3.693 Å, c = 6.608 Å
α = 106.23°, β = 106.23°, γ = 90.00°
Element x y z (fractional)
Ba  0.006  0.006  0.012
In  0.292  0.292  0.584
Pd  0.702  0.702  0.404

Computed properties:
Its space-group type is I4mm. Its crystal system is tetragonal. For the electronic total energy, the calculation gives -3.7313 eV/atom.

***

Repeat the second record exactly.
Crystalline Tl3IBrCl at its relaxed geometry. Source: the Alexandria database, functional PBE-GGA.

a = 4.717 Å, b = 8.238 Å, c = 12.478 Å
α = 102.53°, β = 90.00°, γ = 90.00°
Element x y z (fractional)
Tl  0.250  0.759  0.493
Tl  0.250  0.444  0.834
Tl  0.750  0.556  0.166
Tl  0.750  0.241  0.507
Tl  0.250  0.957  0.838
Tl  0.750  0.043  0.162
Cl  0.750  0.874  0.364
Cl  0.250  0.126  0.636
Br  0.750  0.236  0.943
Br  0.250  0.764  0.057
I  0.750  0.654  0.696
I  0.250  0.346  0.304

Computed properties:
Its space-group type is P2_1/m. The calculation puts the formation energy (no corrections) at -0.836 eV per atom. Its crystal system is monoclinic.